LaMgNO2 | PBEsol | optimized geometry

abc: 3.9274 3.9274 3.9503
angles: 90.00 90.00 90.00
Element x y z (fractional)
Mg  0.0000  0.0000  0.0000
N  0.0000  0.0000  0.5000
O  0.0000  0.5000  0.0000
O  0.5000  0.0000  0.0000
La  0.5000  0.5000  0.5000

Properties
formation energy (no corrections): -8.17 eV/f.u.



LaMgS2N | PBEsol | optimized geometry

abc: 4.0129 4.8165 4.8165
angles: 90.00 90.00 90.00
Element x y z (fractional)
S  0.0000  0.0000  0.5000
S  0.0000  0.5000  0.0000
N  0.5000  0.0000  0.0000
Mg  0.0000  0.0000  0.0000
La  0.5000  0.5000  0.5000

Properties
formation energy (no corrections): -3.77 eV/f.u.



La2MgTcN | PBEsol | optimized geometry

abc: 3.5907 5.5800 5.5800
angles: 90.00 90.00 90.00
Element x y z (fractional)
Mg  0.0000  0.0000  0.0000
N  0.5000  0.0000  0.0000
Tc  0.5000  0.5000  0.5000
La  0.0000  0.0000  0.5000
La  0.0000  0.5000  0.0000

Properties
formation energy (no corrections): 4.71 eV/f.u.



NaLa3Mg | PBEsol | optimized geometry

abc: 5.6934 5.6934 5.6934
angles: 90.00 90.00 90.00
Element x y z (fractional)
Na  0.0000  0.0000  0.0000
Mg  0.5000  0.5000  0.5000
La  0.0000  0.5000  0.0000
La  0.0000  0.0000  0.5000
La  0.5000  0.0000  0.0000

Properties
energy relative to the elements: 789 meV per atom



| no. | E_tot (eV for the cell shown) |
| --- | --- |
| 1 | -34.3 |
| 2 | -28.1 |
| 3 | -27.5 |
| 4 | -15.2 |